Record 1
## Ho3Cd4Ag4 (PBE)

Data for a geometry-optimized Ho3Cd4Ag4 structure.

abc: 3.373 4.786 15.615
angles: 81.23 83.77 90.10
Atoms (fractional coordinates):
Cd 0.735 0.735 0.530
Cd 0.592 0.093 0.815
Cd 0.408 0.907 0.185
Cd 0.265 0.265 0.470
Ag 0.683 0.184 0.633
Ag 0.317 0.816 0.367
Ag 0.546 0.546 0.909
Ag 0.454 0.454 0.091
Ho 0.139 0.640 0.721
Ho 0.861 0.360 0.279
Ho 0.000 0.000 0.000

## Properties
**Energy**: -31.39 eV per cell
**Crystal system**: triclinic
**SG**: P-1, No. 2
**ΔE_f**: -0.24 eV per atom
**M_tot**: 0.00 μB per cell

Record 2
## SrP2Ru (PBE)

Data for a geometry-optimized SrP2Ru structure.

abc: 4.169 3.822 6.223
angles: 72.13 90.00 90.00
Atoms (fractional coordinates):
P 0.500 0.363 0.398
P 0.000 0.041 0.043
Ru 0.000 0.435 0.255
Sr 0.500 0.661 0.804

## Properties
**Energy**: -23.87 eV per cell
**Crystal system**: orthorhombic
**SG**: Amm2, No. 38
**ΔE_f**: -0.52 eV per atom
**M_tot**: 0.00 μB per cell
**Polymorph energy (0 for the lowest one)**: 0.169 eV/atom

Record 3
## Cs2Hg4As (PBE)

Data for a geometry-optimized Cs2Hg4As structure.

abc: 5.572 5.572 10.544
angles: 74.68 74.68 90.00
Atoms (fractional coordinates):
Cs 0.642 0.642 0.715
Cs 0.358 0.358 0.285
Hg 0.500 0.000 0.000
Hg 0.000 0.500 0.000
Hg 0.158 0.158 0.684
Hg 0.842 0.842 0.316
As 0.000 0.000 0.000

## Properties
**Energy**: -8.79 eV per cell
**Crystal system**: tetragonal
**SG**: I4/mmm, No. 139
**ΔE_f**: -0.18 eV per atom
**M_tot**: 0.00 μB per cell

Record 4
## CaAgPb2Se4 (PBE)

Data for a geometry-optimized CaAgPb2Se4 structure.

abc: 4.223 7.366 7.304
angles: 70.21 90.00 90.00
Atoms (fractional coordinates):
Se 0.000 0.734 0.759
Se 0.000 0.266 0.241
Se 0.500 0.263 0.745
Se 0.500 0.737 0.255
Pb 0.500 0.000 0.500
Pb 0.000 0.000 0.000
Ca 0.000 0.500 0.500
Ag 0.500 0.500 0.000

## Properties
**Energy**: -32.11 eV per cell
**Crystal system**: monoclinic
**SG**: P2/m, No. 10
**M_tot**: 0.00 μB per cell
**Formation energy (no corrections)**: -0.7372 eV per atom

Record 5
## Ba8SrCa6 (PBE)

Data for a geometry-optimized Ba8SrCa6 structure.

abc: 11.396 11.396 10.543
angles: 57.28 57.28 60.00
Atoms (fractional coordinates):
Ba 0.214 0.882 0.355
Ba 0.335 0.335 0.996
Ba 0.882 0.549 0.355
Ba 0.451 0.786 0.645
Ba 0.665 0.665 0.004
Ba 0.549 0.214 0.355
Ba 0.786 0.118 0.645
Ba 0.118 0.451 0.645
Ca 0.628 0.959 0.124
Ca 0.289 0.628 0.124
Ca 0.372 0.041 0.876
Ca 0.711 0.372 0.876
Ca 0.959 0.289 0.124
Ca 0.041 0.711 0.876
Sr 0.000 0.000 0.000

## Properties
**Energy**: -26.32 eV per cell
**Crystal system**: trigonal
**SG**: R-3, No. 148
**ΔE_f**: 0.18 eV per atom
**M_tot**: 0.00 μB per cell
**Polymorph energy (0 for the lowest one)**: 0.016 eV/atom

Record 6
## Zr2ScTi3N6 (PBE)

Data for a geometry-optimized Zr2ScTi3N6 structure.

abc: 3.123 6.261 6.984
angles: 102.75 102.92 90.00
Atoms (fractional coordinates):
N 0.004 0.745 0.007
N 0.331 0.928 0.662
N 0.996 0.255 0.993
N 0.662 0.593 0.324
N 0.669 0.072 0.338
N 0.338 0.407 0.676
Ti 0.500 0.500 0.000
Ti 0.835 0.168 0.671
Ti 0.165 0.832 0.329
Zr 0.166 0.332 0.332
Zr 0.834 0.668 0.668
Sc 0.500 0.000 0.000

## Properties
**Energy**: -117.65 eV per cell
**Crystal system**: monoclinic
**SG**: C2/m, No. 12
**M_tot**: 0.00 μB per cell
**Formation energy (no corrections)**: -1.7153 eV per atom

Record 7
## ZrRuCl3 (PBE)

Data for a geometry-optimized ZrRuCl3 structure.

abc: 5.045 5.045 5.045
angles: 90.00 90.00 90.00
Site moments in Bohr magnetons follow the coordinates.
Atoms (fractional coordinates):
Cl 0.000 0.500 0.000  0.02
Cl 0.500 0.000 0.000  0.01
Cl 0.000 0.000 0.500  0.02
Zr 0.000 0.000 0.000  -0.07
Ru 0.500 0.500 0.500  2.66

## Properties
**Energy**: -23.30 eV per cell
**Crystal system**: cubic
**SG**: Pm-3m, No. 221
**M_tot**: 3.18 μB per cell
**Polymorph energy (0 for the lowest one)**: 0.000 eV/atom
**Formation energy (no corrections)**: 0.0124 eV per atom

Record 8
## ErAl8Ga6 (PBE)

Data for a geometry-optimized ErAl8Ga6 structure.

abc: 6.812 6.812 8.099
angles: 65.13 65.13 60.00
Atoms (fractional coordinates):
Al 0.641 0.140 0.392
Al 0.140 0.826 0.392
Al 0.826 0.641 0.392
Al 0.364 0.364 0.909
Al 0.174 0.359 0.608
Al 0.636 0.636 0.091
Al 0.860 0.174 0.608
Al 0.359 0.860 0.608
Ga 0.997 0.291 0.221
Ga 0.291 0.491 0.221
Ga 0.709 0.509 0.779
Ga 0.491 0.997 0.221
Ga 0.003 0.709 0.779
Ga 0.509 0.003 0.779
Er 0.000 0.000 0.000

## Properties
**Energy**: -52.69 eV per cell
**Crystal system**: trigonal
**SG**: R-3, No. 148
**ΔE_f**: 0.00 eV per atom
**M_tot**: 0.00 μB per cell

Record 9
## AcSmErTl (PBE)

Data for a geometry-optimized AcSmErTl structure.

abc: 5.641 5.641 5.641
angles: 60.00 60.00 60.00
Atoms (fractional coordinates):
Ac 0.750 0.750 0.750
Sm 0.500 0.500 0.500
Er 0.000 0.000 0.000
Tl 0.250 0.250 0.250

## Properties
**Energy**: -15.58 eV per cell
**Crystal system**: cubic
**SG**: F-43m, No. 216
**ΔE_f**: 0.04 eV per atom
**M_tot**: 0.00 μB per cell

Record 10
## Ti2HgRu2 (PBE)

Data for a geometry-optimized Ti2HgRu2 structure.

abc: 4.102 4.102 6.136
angles: 70.47 70.47 90.00
Atoms (fractional coordinates):
Hg 0.000 0.000 0.000
Ru 0.617 0.617 0.766
Ru 0.383 0.383 0.234
Ti 0.750 0.250 0.500
Ti 0.250 0.750 0.500

## Properties
**Energy**: -34.79 eV per cell
**Crystal system**: tetragonal
**SG**: I4/mmm, No. 139
**ΔE_f**: -0.03 eV per atom
**M_tot**: 0.00 μB per cell
**Polymorph energy (0 for the lowest one)**: 0.241 eV/atom

Record 11
## AgPbIF2 (PBE)

Data for a geometry-optimized AgPbIF2 structure.

abc: 4.553 6.495 4.553
angles: 90.00 90.00 90.00
Atoms (fractional coordinates):
F 0.000 0.000 0.500
F 0.500 0.000 0.000
Pb 0.000 0.500 0.000
I 0.000 0.000 0.000
Ag 0.500 0.500 0.500

## Properties
**Energy**: -13.86 eV per cell
**Crystal system**: tetragonal
**SG**: P4/mmm, No. 123
**M_tot**: 0.00 μB per cell
**Polymorph energy (0 for the lowest one)**: 1.004 eV/atom
**Formation energy (no corrections)**: -0.4021 eV per atom

Record 12
## CeDyH8Ir2 (PBE)

Data for a geometry-optimized CeDyH8Ir2 structure.

abc: 4.794 4.794 6.756
angles: 69.22 69.22 60.00
Site moments in Bohr magnetons follow the coordinates.
Atoms (fractional coordinates):
H 0.512 0.541 0.832  0.00
H 0.885 0.488 0.168  0.00
H 0.170 0.170 0.491  0.00
H 0.488 0.459 0.168  0.00
H 0.830 0.830 0.509  0.00
H 0.115 0.512 0.832  0.00
H 0.459 0.885 0.168  0.00
H 0.541 0.115 0.832  0.00
Dy 0.000 0.000 0.000  0.00
Ir 0.742 0.742 0.774  -0.01
Ir 0.258 0.258 0.226  -0.01
Ce 0.500 0.500 0.500  0.42

## Properties
**Energy**: -58.35 eV per cell
**Crystal system**: trigonal
**SG**: R-3, No. 148
**M_tot**: 0.44 μB per cell

Record 13
## TbPuMnCu (PBE)

Data for a geometry-optimized TbPuMnCu structure.

abc: 4.893 4.893 4.893
angles: 60.00 60.00 60.00
Site moments in Bohr magnetons follow the coordinates.
Atoms (fractional coordinates):
Tb 0.000 0.000 0.000  0.31
Cu 0.750 0.750 0.750  0.04
Pu 0.500 0.500 0.500  5.33
Mn 0.250 0.250 0.250  -3.07

## Properties
**Energy**: -31.82 eV per cell
**Crystal system**: cubic
**SG**: F-43m, No. 216
**ΔE_f**: 0.10 eV per atom
**M_tot**: 2.84 μB per cell

Record 14
## Li2ZrCo (PBE)

Data for a geometry-optimized Li2ZrCo structure.

abc: 2.684 4.553 5.035
angles: 90.00 90.00 90.00
Site moments in Bohr magnetons follow the coordinates.
Atoms (fractional coordinates):
Zr 0.500 0.500 0.250  -0.09
Li 0.000 0.000 0.969  -0.01
Li 0.000 0.000 0.531  -0.01
Co 0.500 0.500 0.750  0.61

## Properties
**Energy**: -18.48 eV per cell
**Crystal system**: orthorhombic
**SG**: Pmmm, No. 47
**ΔE_f**: 0.25 eV per atom
**M_tot**: 0.40 μB per cell
**Polymorph energy (0 for the lowest one)**: 0.191 eV/atom

Record 15
## GaFe2Re (PBE)

Data for a geometry-optimized GaFe2Re structure.

abc: 2.805 4.261 4.261
angles: 90.00 90.00 90.00
Site moments in Bohr magnetons follow the coordinates.
Atoms (fractional coordinates):
Fe 0.000 0.000 0.500  1.40
Fe 0.000 0.500 0.000  1.40
Ga 0.500 0.500 0.500  -0.07
Re 0.500 0.000 0.000  0.08

## Properties
**Energy**: -31.99 eV per cell
**Crystal system**: tetragonal
**SG**: P4/mmm, No. 123
**ΔE_f**: 0.10 eV per atom
**M_tot**: 2.79 μB per cell

Record 16
## CuH2Pd4 (PBE)

Data for a geometry-optimized CuH2Pd4 structure.

abc: 4.958 4.832 7.516
angles: 110.35 101.87 98.87
Atoms (fractional coordinates):
H 0.773 0.773 0.131
H 0.212 0.550 0.928
H 0.630 0.360 0.719
H 0.456 0.264 0.265
Cu 0.157 0.983 0.085
Cu 0.073 0.775 0.404
Pd 0.798 0.177 0.298
Pd 0.559 0.788 0.896
Pd 0.262 0.170 0.789
Pd 0.458 0.591 0.200
Pd 0.363 0.369 0.492
Pd 0.966 0.584 0.695
Pd 0.668 0.971 0.594
Pd 0.874 0.395 0.004

## Properties
**Energy**: -64.05 eV per cell
**Crystal system**: triclinic
**SG**: P1, No. 1
**M_tot**: 0.00 μB per cell
**Polymorph energy (0 for the lowest one)**: 0.000 eV/atom

Record 17
## Tb4ErHg2 (PBE)

Data for a geometry-optimized Tb4ErHg2 structure.

abc: 5.098 5.098 10.424
angles: 75.85 75.85 60.00
Atoms (fractional coordinates):
Tb 0.109 0.109 0.672
Tb 0.704 0.704 0.887
Tb 0.891 0.891 0.328
Tb 0.296 0.296 0.113
Er 0.500 0.500 0.500
Hg 0.399 0.399 0.802
Hg 0.601 0.601 0.198

## Properties
**Energy**: -23.44 eV per cell
**Crystal system**: trigonal
**SG**: R-3m, No. 166
**ΔE_f**: 0.04 eV per atom
**M_tot**: 0.00 μB per cell

Record 18
## Na15Cd4In (PBE)

Data for a geometry-optimized Na15Cd4In structure.

abc: 5.200 5.200 22.138
angles: 90.00 90.00 90.00
Atoms (fractional coordinates):
Cd 0.000 0.000 0.600
Cd 0.000 0.000 0.803
Cd 0.000 0.000 0.400
Cd 0.000 0.000 0.197
Na 0.500 0.000 0.098
Na 0.000 0.500 0.702
Na 0.500 0.000 0.500
Na 0.500 0.500 0.399
Na 0.500 0.500 0.000
Na 0.500 0.500 0.601
Na 0.000 0.500 0.500
Na 0.500 0.500 0.802
Na 0.500 0.000 0.902
Na 0.500 0.500 0.198
Na 0.000 0.500 0.902
Na 0.000 0.500 0.098
Na 0.500 0.000 0.702
Na 0.500 0.000 0.298
Na 0.000 0.500 0.298
In 0.000 0.000 0.000

## Properties
**Energy**: -27.01 eV per cell
**Crystal system**: tetragonal
**SG**: P4/mmm, No. 123
**ΔE_f**: -0.04 eV per atom
**M_tot**: 0.00 μB per cell

Record 19
## TbPmNiPd (PBE)

Data for a geometry-optimized TbPmNiPd structure.

abc: 4.961 4.961 4.961
angles: 60.00 60.00 60.00
Atoms (fractional coordinates):
Tb 0.000 0.000 0.000
Pd 0.750 0.750 0.750
Pm 0.500 0.500 0.500
Ni 0.250 0.250 0.250

## Properties
**Energy**: -22.53 eV per cell
**Crystal system**: cubic
**SG**: F-43m, No. 216
**ΔE_f**: -0.54 eV per atom
**M_tot**: 0.00 μB per cell
**Polymorph energy (0 for the lowest one)**: 0.068 eV/atom

Record 20
## La3Tl3Ag (PBE)

Data for a geometry-optimized La3Tl3Ag structure.

abc: 7.498 7.498 8.057
angles: 90.04 90.04 86.08
Atoms (fractional coordinates):
La 0.000 0.000 0.206
La 0.501 0.999 0.763
La 0.999 0.501 0.763
La 0.499 0.001 0.237
La 0.001 0.499 0.237
La 0.000 0.000 0.794
Ag 0.722 0.722 0.001
Ag 0.278 0.278 0.999
Tl 0.773 0.773 0.499
Tl 0.319 0.681 0.000
Tl 0.748 0.252 0.500
Tl 0.252 0.748 0.500
Tl 0.681 0.319 0.000
Tl 0.227 0.227 0.501

## Properties
**Energy**: -52.39 eV per cell
**Crystal system**: monoclinic
**SG**: C2/m, No. 12
**ΔE_f**: -0.21 eV per atom
**M_tot**: 0.00 μB per cell

Record order is preserved below.
Calculated density: 9.227 4.410 6.252 6.822 2.557 5.828 3.862 4.677 9.800 9.096 5.921 9.410 10.455 4.428 11.984 10.187 8.884 2.522 9.019 8.362 g cm⁻³